# Ac4Hg3Rh, relaxed, DFT GGA-PBE
# Size of the total moment = 0.000 μB/atom
# Energy relative to the elements = -0.4911 eV per atom
data_Ac4Hg3Rh
_chemical_formula_sum 'Ac4 Hg3 Rh1'
_space_group_name_H-M_alt 'P 1'
_space_group_IT_number 1
_space_group_name_Hall 'P 1'
_cell_length_a 3.9126
_cell_length_b 3.9126
_cell_length_c 16.2940
_cell_angle_alpha 90.00
_cell_angle_beta 90.00
_cell_angle_gamma 90.00
loop_
_atom_site_label
_atom_site_fract_x
_atom_site_fract_y
_atom_site_fract_z
Ac1 0.0000 0.0000 0.8926
Ac2 0.0000 0.0000 0.1074
Ac3 0.0000 0.0000 0.3716
Ac4 0.0000 0.0000 0.6284
Rh1 0.5000 0.5000 0.0000
Hg1 0.5000 0.5000 0.2442
Hg2 0.5000 0.5000 0.5000
Hg3 0.5000 0.5000 0.7558